Entry 1:
Compound: Na2CdSeI
Source: Alexandria
Functional: PBE
Structure: optimized geometry

Properties
total magnetic moment	0.000	μB per cell
E_form (uncorrected)	-0.777	eV per atom

Cell lengths 5.638, 5.638, 5.420 Å; angles 90.00, 90.00, 90.00 degrees
Space group P4/mmm (No. 123)
Inequivalent atoms, fractional coordinates:
1 Na 0.000 0.500 0.000 [2 per cell]
2 Cd 0.000 0.000 0.500 [1 per cell]
3 Se 0.000 0.000 0.000 [1 per cell]
4 I 0.500 0.500 0.500 [1 per cell]

***

Entry 2:
Compound: NaCdSeI2
Source: Alexandria
Functional: PBE
Structure: optimized geometry

Properties
total magnetic moment	1.000	μB per cell
E_form (uncorrected)	-0.379	eV per atom

Cell lengths 6.086, 6.086, 5.249 Å; angles 90.00, 90.00, 90.00 degrees
Space group P4/mmm (No. 123)
Inequivalent atoms, fractional coordinates:
1 Na 0.000 0.000 0.000 [1 per cell]
2 Cd 0.500 0.500 0.500 [1 per cell]
3 Se 0.500 0.500 0.000 [1 per cell]
4 I 0.000 0.500 0.500 [2 per cell]